Density functional theory data (PBE) for a relaxed structure of NaTcHgBr6.

Unit cell a=7.185 b=7.185 c=12.402 alpha=90.00 beta=90.00 gamma=120.00
Each line ends with the local moment (μB).
Sites, in units of the cell vectors:
Br1 0.657 0.042 0.370  0.02
Br2 0.042 0.657 0.870  0.02
Br3 0.042 0.385 0.630  0.02
Br4 0.657 0.615 0.130  0.02
Br5 0.385 0.343 0.370  0.02
Br6 0.343 0.385 0.870  0.02
Br7 0.385 0.042 0.130  0.02
Br8 0.615 0.657 0.630  0.02
Br9 0.343 0.958 0.630  0.02
Br10 0.958 0.343 0.130  0.02
Br11 0.958 0.615 0.370  0.02
Br12 0.615 0.958 0.870  0.02
Na1 0.667 0.333 0.750  0.00
Na2 0.333 0.667 0.250  0.00
Tc1 0.667 0.333 0.250  2.03
Tc2 0.333 0.667 0.750  2.03
Hg1 0.000 0.000 0.000  -0.12
Hg2 0.000 0.000 0.500  -0.12

Results
ρ (Mg/m³): 4.797
E (eV for the cell shown): -54.5